Record 1
# La8YTm6, optimized geometry, DFT PBE
data_La8YTm6
_cell_length_a 9.4159
_cell_length_b 9.4159
_cell_length_c 6.6520
_cell_angle_alpha 90.00
_cell_angle_beta 90.00
_cell_angle_gamma 120.00
_space_group_name_H-M_alt 'P -3'
_space_group_IT_number 147
loop_
_space_group_symop_operation_xyz
'x,y,z'
'-x,-y,-z'
'-y,x-y,z'
'y,-x+y,-z'
'-x+y,-x,z'
'x-y,x,-z'
loop_
_atom_site_label
_atom_site_type_symbol
_atom_site_fract_x
_atom_site_fract_y
_atom_site_fract_z
La1 La 0.0455 0.7497 0.1668
La2 La 0.3333 0.6667 0.1202
Y1 Y 0.0000 0.0000 0.5000
Tm1 Tm 0.0995 0.6621 0.6502
# VASP energy in eV per cell: -70.21
# D(E_F) in states/eV per cell: 23.4
# Energy relative to the elements in eV/atom: 0.167


Record 2
# CaZnCuSn2, optimized geometry, DFT PBE
data_CaZnCuSn2
_cell_length_a 4.439
_cell_length_b 4.439
_cell_length_c 11.639
_cell_angle_alpha 90.00
_cell_angle_beta 90.00
_cell_angle_gamma 90.00
_space_group_name_H-M_alt 'I -4 m 2'
_space_group_IT_number 119
_space_group_name_Hall 'I -4 -2'
loop_
_atom_site_label
_atom_site_type_symbol
_atom_site_fract_x
_atom_site_fract_y
_atom_site_fract_z
Ca1 Ca 0.000 0.000 0.000
Zn1 Zn 0.000 0.500 0.250
Cu1 Cu 0.000 0.500 0.750
Sn1 Sn 0.000 0.000 0.378
# VASP energy in eV per cell: -33.42
# D(E_F) in states/eV per cell: 1.9
# Energy relative to the elements in eV/atom: -0.266


Record 3
# LaHPd3, optimized geometry, DFT PBE
data_LaHPd3
_cell_length_a 6.0247
_cell_length_b 6.0247
_cell_length_c 7.6589
_cell_angle_alpha 90.00
_cell_angle_beta 90.00
_cell_angle_gamma 120.00
_space_group_name_H-M_alt 'R 3 m'
_space_group_IT_number 160
_space_group_name_Hall 'R 3 -2"'
loop_
_atom_site_label
_atom_site_type_symbol
_atom_site_fract_x
_atom_site_fract_y
_atom_site_fract_z
La1 La 0.0000 0.0000 0.0000
H1 H 0.0000 0.0000 0.3434
Pd1 Pd 0.1731 0.3462 0.3319
# VASP energy in eV per cell: -81.10
# D(E_F) in states/eV per cell: 2.8


Record 4
# Tb2CeIr, optimized geometry, DFT PBE
data_Tb2CeIr
_cell_length_a 3.807
_cell_length_b 12.168
_cell_length_c 9.482
_cell_angle_alpha 90.00
_cell_angle_beta 90.00
_cell_angle_gamma 90.00
_space_group_name_H-M_alt 'C m c m'
_space_group_IT_number 63
_space_group_name_Hall '-C 2c 2'
loop_
_atom_site_label
_atom_site_type_symbol
_atom_site_fract_x
_atom_site_fract_y
_atom_site_fract_z
Tb1 Tb 0.000 0.141 0.067
Ce1 Ce 0.000 0.420 0.250
Ir1 Ir 0.000 0.246 0.750
# VASP energy in eV per cell: -103.75
# D(E_F) in states/eV per cell: 33.5
# Energy relative to the elements in eV/atom: -0.470


Record 5
# LiCd5, optimized geometry, DFT PBE
data_LiCd5
_cell_length_a 8.170
_cell_length_b 8.170
_cell_length_c 8.170
_cell_angle_alpha 90.00
_cell_angle_beta 90.00
_cell_angle_gamma 90.00
_space_group_name_H-M_alt 'F -4 3 m'
_space_group_IT_number 216
_space_group_name_Hall 'F -4 2 3'
loop_
_atom_site_label
_atom_site_type_symbol
_atom_site_fract_x
_atom_site_fract_y
_atom_site_fract_z
Li1 Li 0.000 0.000 0.000
Cd1 Cd 0.125 0.125 0.375
Cd2 Cd 0.250 0.250 0.750
# VASP energy in eV per cell: -26.23
# D(E_F) in states/eV per cell: 11.8
# Energy relative to the elements in eV/atom: -0.011


Record 6
# Cs3Dy3NpO8, optimized geometry, DFT PBE
data_Cs3Dy3NpO8
_cell_length_a 7.0551
_cell_length_b 7.0551
_cell_length_c 21.0037
_cell_angle_alpha 90.00
_cell_angle_beta 90.00
_cell_angle_gamma 120.00
_space_group_name_H-M_alt 'R -3 m'
_space_group_IT_number 166
_space_group_name_Hall '-R 3 2"'
loop_
_atom_site_label
_atom_site_type_symbol
_atom_site_fract_x
_atom_site_fract_y
_atom_site_fract_z
Cs1 Cs 0.0000 0.5000 0.0000
Dy1 Dy 0.0000 0.5000 0.5000
Np1 Np 0.0000 0.0000 0.5000
O1 O 0.0000 0.0000 0.2193
O2 O 0.0101 0.5050 0.2186
# VASP energy in eV per cell: -329.80
# D(E_F) in states/eV per cell: 34.1
# Uncorrected formation energy in eV/atom: -2.731